First-principles (PBE) data for LiHS after structural relaxation, as listed in Alexandria via LeMat-Bulk.

Cell lengths 6.1827, 3.9488, 3.9488 Å; angles 91.24, 90.00, 90.00 degrees
Fractional positions:
Li: 0.0000 0.0000 0.0000
Li: 0.5000 0.0000 0.0000
H: 0.2500 0.5156 0.3696
H: 0.7500 0.3696 0.5156
S: 0.2500 0.5023 0.0274
S: 0.7500 0.0274 0.5023

polymorph energy (0 for the lowest one)	0	meV/atom